VASP calculation (PBE-GGA) on crystalline RbBaPtO2 at its relaxed geometry.

Values from the calculation:
Density of states at the Fermi level ... 1.102 states/eV per atom
Energy relative to the elements, uncorrected ... 0.007 eV/atom
Raw total energy ... -18.81 eV per formula unit
ΔE to the lowest computed polymorph ... 1374 meV per atom

a b c (Å): 4.8949 4.8949 9.5738
angles (deg): 90.00 90.00 90.00
Last column: nearest neighbours and their distance in Å.
Fractional positions:
Rb  0.0000  0.0000  0.0000  4 Pt 3.46
Ba  0.0000  0.0000  0.5000  4 O 2.45
Pt  0.5000  0.5000  0.0000  4 Rb 3.46
O  0.0000  0.5000  0.5000  2 Ba 2.45
O  0.5000  0.0000  0.5000  2 Ba 2.45

=====

VASP calculation (PBE-GGA) on crystalline Li2CrPd4 at its relaxed geometry.

Values from the calculation:
Density of states at the Fermi level ... 0.783 states/eV per atom
Raw total energy ... -34.84 eV per formula unit
ΔE to the lowest computed polymorph ... 0 meV per atom

a b c (Å): 5.1472 5.1472 5.1472
angles (deg): 109.32 109.32 109.78
Last column: nearest neighbours and their distance in Å.
Fractional positions:
Li  0.0000  0.5000  0.5000  8 Pd 2.57
Li  0.5000  0.0000  0.5000  8 Pd 2.57
Cr  0.0000  0.0000  0.0000  8 Pd 2.57
Pd  0.0000  0.0000  0.5000  2 Cr 2.57, 4 Li 2.57
Pd  0.0000  0.5000  0.0000  2 Cr 2.57, 4 Li 2.57
Pd  0.5000  0.0000  0.0000  2 Cr 2.57, 4 Li 2.57
Pd  0.5000  0.5000  0.5000  2 Cr 2.57, 4 Li 2.57

=====

VASP calculation (PBE-GGA) on crystalline Ce2TiIn8 at its relaxed geometry.

Values from the calculation:
Density of states at the Fermi level ... 1.462 states/eV per atom
Raw total energy ... -44.78 eV per formula unit

a b c (Å): 4.7066 4.7066 12.7133
angles (deg): 90.00 90.00 90.00
Last column: nearest neighbours and their distance in Å.
Fractional positions:
Ce  0.0000  0.0000  0.1872  12 In 3.31-3.35
Ce  0.0000  0.0000  0.8128  12 In 3.31-3.35
Ti  0.0000  0.0000  0.5000  8 In 2.87
In  0.0000  0.5000  0.0000  8 In 3.32-3.33, 4 Ce 3.35
In  0.0000  0.5000  0.3707  2 Ti 2.87
In  0.0000  0.5000  0.6293  2 Ti 2.87
In  0.5000  0.0000  0.0000  8 In 3.32-3.33, 4 Ce 3.35
In  0.5000  0.0000  0.3707  2 Ti 2.87
In  0.5000  0.0000  0.6293  2 Ti 2.87
In  0.5000  0.5000  0.1847  8 In 3.32-3.34, 4 Ce 3.33
In  0.5000  0.5000  0.8153  8 In 3.32-3.34, 4 Ce 3.33

=====

VASP calculation (PBE-GGA) on crystalline Rb4LaCr2 at its relaxed geometry.

Values from the calculation:
Density of states at the Fermi level ... 1.076 states/eV per atom
Raw total energy ... -19.31 eV per formula unit

a b c (Å): 10.1161 10.1161 10.1161
angles (deg): 140.86 140.86 56.56
Last column: nearest neighbours and their distance in Å.
Fractional positions:
Rb  0.0000  0.5000  0.5000  2 La 3.39, 4 Cr 3.68
Rb  0.2187  0.2187  0.0000  1 Cr 3.58, 1 La 3.90
Rb  0.5000  0.0000  0.5000  2 La 3.39, 4 Cr 3.68
Rb  0.7813  0.7813  0.0000  1 Cr 3.58, 1 La 3.90
La  0.0000  0.0000  0.0000  4 Rb 3.39
Cr  0.4195  0.4195  0.0000  1 Cr 2.87
Cr  0.5805  0.5805  0.0000  1 Cr 2.87

=====

VASP calculation (PBE-GGA) on crystalline Ti2GaCu2 at its relaxed geometry.

Values from the calculation:
Density of states at the Fermi level ... 0.788 states/eV per atom
Raw total energy ... -26.64 eV per formula unit
ΔE to the lowest computed polymorph ... 251 meV per atom

a b c (Å): 7.3197 7.3197 2.9260
angles (deg): 90.00 90.00 90.00
Last column: nearest neighbours and their distance in Å.
Fractional positions:
Ti  0.1689  0.3311  0.0000  6 Cu 2.59-2.62, 2 Ga 2.72
Ti  0.3311  0.8311  0.0000  6 Cu 2.59-2.62, 2 Ga 2.72
Ti  0.6689  0.1689  0.0000  6 Cu 2.59-2.62, 2 Ga 2.72
Ti  0.8311  0.6689  0.0000  6 Cu 2.59-2.62, 2 Ga 2.72
Ga  0.0000  0.0000  0.0000  4 Ti 2.72, 2 Ga 2.93
Ga  0.5000  0.5000  0.0000  4 Ti 2.72, 2 Ga 2.93
Cu  0.1248  0.6248  0.5000  1 Cu 2.58, 6 Ti 2.59-2.62
Cu  0.3752  0.1248  0.5000  1 Cu 2.58, 6 Ti 2.59-2.62
Cu  0.6248  0.8752  0.5000  1 Cu 2.58, 6 Ti 2.59-2.62
Cu  0.8752  0.3752  0.5000  1 Cu 2.58, 6 Ti 2.59-2.62

=====

VASP calculation (PBE-GGA) on crystalline Ce6TlCo2 at its relaxed geometry.

Values from the calculation:
Density of states at the Fermi level ... 2.110 states/eV per atom
Raw total energy ... -53.84 eV per formula unit

a b c (Å): 5.8127 5.8127 8.7541
angles (deg): 91.81 91.81 45.61
Last column: nearest neighbours and their distance in Å.
Fractional positions:
Ce  0.0870  0.0870  0.3664  3 Co 2.75-2.82, 3 Ce 2.96-3.04
Ce  0.2845  0.2845  0.8941  1 Co 2.48
Ce  0.4107  0.4107  0.3204  3 Co 2.94-3.10, 2 Ce 2.96
Ce  0.5893  0.5893  0.6796  3 Co 2.94-3.10, 2 Ce 2.96
Ce  0.7155  0.7155  0.1059  1 Co 2.48
Ce  0.9130  0.9130  0.6336  3 Co 2.75-2.82, 3 Ce 2.96-3.04
Tl  0.0000  0.0000  0.0000  8 Ce 3.22-3.33
Co  0.2544  0.2544  0.6121  2 Ce 2.48-2.75
Co  0.7456  0.7456  0.3879  2 Ce 2.48-2.75

=====

VASP calculation (PBE-GGA) on crystalline K2PmBiS4 at its relaxed geometry.

Values from the calculation:
Density of states at the Fermi level ... 0.000 states/eV per atom
Energy relative to the elements, uncorrected ... -1.335 eV/atom
Raw total energy ... -38.01 eV per formula unit

a b c (Å): 7.2214 4.1643 7.7778
angles (deg): 90.00 107.95 90.00
Last column: nearest neighbours and their distance in Å.
Fractional positions:
K  0.0000  0.0000  0.0000  6 S 3.22-3.23
K  0.5000  0.5000  0.0000  6 S 3.24
Pm  0.0000  0.5000  0.5000  6 S 2.85
Bi  0.5000  0.0000  0.5000  6 S 2.86-2.87
S  0.2340  0.0000  0.7072  2 Pm 2.85, 1 Bi 2.86
S  0.2615  0.5000  0.2907  1 Pm 2.85, 2 Bi 2.87
S  0.7385  0.5000  0.7093  1 Pm 2.85, 2 Bi 2.87
S  0.7660  0.0000  0.2928  2 Pm 2.85, 1 Bi 2.86

=====

VASP calculation (PBE-GGA) on crystalline Li2CoCl at its relaxed geometry.

Values from the calculation:
Density of states at the Fermi level ... 1.693 states/eV per atom
Energy relative to the elements, uncorrected ... 0.203 eV/atom
Raw total energy ... -11.97 eV per formula unit
ΔE to the lowest computed polymorph ... 558 meV per atom

a b c (Å): 4.3726 4.3726 4.3726
angles (deg): 60.00 60.00 60.00
Last column: nearest neighbours and their distance in Å.
Fractional positions:
Li  0.0000  0.0000  0.0000  4 Li 2.68, 4 Co 2.68
Li  0.2500  0.2500  0.2500  4 Cl 2.68, 4 Li 2.68
Co  0.7500  0.7500  0.7500  4 Cl 2.68, 4 Li 2.68
Cl  0.5000  0.5000  0.5000  4 Co 2.68, 4 Li 2.68